! meta-GGA SCAN YZrTe3, single point on PBEsol structure; values from VASP
&SYSTEM
  ibrav = 0, nat = 5, ntyp = 3
/
ATOMIC_SPECIES
Te 127.60 Te.upf
Y 88.91 Y.upf
Zr 91.22 Zr.upf
CELL_PARAMETERS angstrom
5.631 0.000 0.000
0.000 5.631 0.000
0.000 0.000 5.631
ATOMIC_POSITIONS angstrom
Te 0.000 0.000 2.816
Y 0.000 0.000 0.000
Te 2.816 0.000 0.000
Te 0.000 2.816 0.000
Zr 2.816 2.816 2.816
! Crystal system ... cubic
! D(E_F) ... 1.54 states/eV per cell
! VASP energy ... -34.098 eV/atom
! Spin magnetization ... 0.220 μB per atom

---

! meta-GGA SCAN Y2Zr2Te, single point on PBEsol structure; values from VASP
&SYSTEM
  ibrav = 0, nat = 5, ntyp = 3
/
ATOMIC_SPECIES
Zr 91.22 Zr.upf
Y 88.91 Y.upf
Te 127.60 Te.upf
CELL_PARAMETERS angstrom
3.861 0.000 0.000
0.000 3.861 0.000
-1.931 -1.931 9.288
ATOMIC_POSITIONS angstrom
Zr 1.931 0.000 4.644
Y 0.000 0.000 7.456
Zr 0.000 1.931 4.644
Y 1.931 1.931 1.833
Te 0.000 0.000 0.000
! Crystal system ... tetragonal
! D(E_F) ... 4.30 states/eV per cell
! VASP energy ... -30.994 eV/atom
! Spin magnetization ... 0.245 μB per atom

---

! meta-GGA SCAN YZrTe2, single point on PBEsol structure; values from VASP
&SYSTEM
  ibrav = 0, nat = 4, ntyp = 3
/
ATOMIC_SPECIES
Zr 91.22 Zr.upf
Y 88.91 Y.upf
Te 127.60 Te.upf
CELL_PARAMETERS angstrom
-0.290 -2.205 3.257
-2.773 -2.202 -1.737
4.691 -4.066 -2.335
ATOMIC_POSITIONS angstrom
Zr 2.126 -5.373 -1.060
Y 2.203 -1.910 -1.097
Te -0.045 -3.492 0.020
Te 4.380 -3.797 -2.180
! Crystal system ... tetragonal
! D(E_F) ... 1.00 states/eV per cell
! VASP energy ... -34.392 eV/atom
! Spin magnetization ... 0.000 μB per atom